DFT (PBE) results for an optimized crystal structure of EuBe2Rh.

POSCAR file:
```
EuBe2Rh
1.0
-2.255 -2.715 -1.688
1.145 -1.697 -3.334
2.042 -5.154 1.030
Eu Be Rh
1 2 1
Direct
0.500 0.500 0.500
0.313 0.313 0.062
0.687 0.687 0.938
0.000 0.000 0.000
```

Values from the calculation:
E in eV per cell: -26.40
Crystal system: trigonal